Here is a relaxed Ba2SrSe2 crystal from Alexandria via LeMat-Bulk. Energies are from PBE-GGA.

ρ, g/cm3: 2.98
Total magnetic moment, μB/f.u.: 0.00
V, Å³/f.u.: 290
VASP energy, eV per cell: -19.21
ΔE_f (raw), eV/atom: -1.34

Lattice parameters (Å, degrees): 6.4093 6.4093 8.3921 67.55 67.55 90.00
With the nearest neighbours (Å) after each atom.
Fractional positions:
Sr (0.0000, 0.0000, 0.0000)  2 Se 2.99
Ba (0.7500, 0.2500, 0.5000)  4 Se 3.25
Ba (0.2500, 0.7500, 0.5000)  4 Se 3.25
Se (0.2120, 0.2120, 0.5761)  1 Sr 2.99, 4 Ba 3.25
Se (0.7880, 0.7880, 0.4239)  1 Sr 2.99, 4 Ba 3.25

---

Here is a relaxed BaSr5Se6 crystal from Alexandria via LeMat-Bulk. Energies are from PBE-GGA.

ρ, g/cm3: 4.50
Total magnetic moment, μB/f.u.: 0.00
V, Å³/f.u.: 387
VASP energy, eV per cell: -55.95
ΔE_f (raw), eV/atom: -2.06

Lattice parameters (Å, degrees): 7.7965 7.7994 7.7990 60.00 80.40 70.51
With the nearest neighbours (Å) after each atom.
Fractional positions:
Ba (0.0000, 0.0000, 0.0000)  6 Se 3.26
Sr (0.5000, 0.1660, 0.6681)  6 Se 3.12-3.19
Sr (0.0000, 0.3330, 0.3340)  6 Se 3.17-3.18
Sr (0.5000, 0.5000, 0.0000)  6 Se 3.11-3.19
Sr (0.0000, 0.6670, 0.6660)  6 Se 3.17-3.18
Sr (0.5000, 0.8340, 0.3319)  6 Se 3.12-3.19
Se (0.7456, 0.0850, 0.3417)  5 Sr 3.12-3.19, 1 Ba 3.26
Se (0.2544, 0.5733, 0.3417)  5 Sr 3.12-3.19, 1 Ba 3.26
Se (0.2551, 0.2567, 0.0000)  5 Sr 3.11-3.18, 1 Ba 3.26
Se (0.7449, 0.7433, 0.0000)  5 Sr 3.11-3.18, 1 Ba 3.26
Se (0.7456, 0.4267, 0.6583)  5 Sr 3.12-3.19, 1 Ba 3.26
Se (0.2544, 0.9150, 0.6583)  5 Sr 3.12-3.19, 1 Ba 3.26

---

Here is a relaxed Ba2Sr3Se4 crystal from Alexandria via LeMat-Bulk. Energies are from PBE-GGA.

ρ, g/cm3: 4.27
Total magnetic moment, μB/f.u.: 0.00
V, Å³/f.u.: 331
VASP energy, eV per cell: -38.83
ΔE_f (raw), eV/atom: -1.78

Lattice parameters (Å, degrees): 4.5053 7.8586 10.2547 74.77 77.31 73.34
With the nearest neighbours (Å) after each atom.
Fractional positions:
Ba (0.5983, 0.2030, 0.6004)  4 Se 3.28-3.32
Ba (0.4017, 0.7970, 0.3996)  4 Se 3.28-3.32
Sr (0.0000, 0.0000, 0.0000)  6 Se 3.19
Sr (0.2037, 0.4022, 0.1905)  5 Se 3.12-3.18
Sr (0.7963, 0.5978, 0.8095)  5 Se 3.12-3.18
Se (0.7992, 0.1110, 0.2905)  3 Sr 3.15-3.19, 3 Ba 3.28-3.32
Se (0.2008, 0.8890, 0.7095)  3 Sr 3.15-3.19, 3 Ba 3.28-3.32
Se (0.3977, 0.2999, 0.9047)  5 Sr 3.12-3.19, 1 Ba 3.28
Se (0.6023, 0.7001, 0.0953)  5 Sr 3.12-3.19, 1 Ba 3.28

---

Here is a relaxed BaSr2Se crystal from Alexandria via LeMat-Bulk. Energies are from PBE-GGA.

ρ, g/cm3: 3.81
Total magnetic moment, μB/f.u.: 0.00
V, Å³/f.u.: 171
VASP energy, eV per cell: -10.68
ΔE_f (raw), eV/atom: -0.48

Lattice parameters (Å, degrees): 7.6400 7.6400 4.9898 70.95 70.95 124.62
With the nearest neighbours (Å) after each atom.
Fractional positions:
Ba (0.5000, 0.0000, 0.5000)  4 Se 3.55, 4 Sr 3.82
Se (0.0000, 0.5000, 0.5000)  4 Ba 3.55, 4 Sr 3.82
Sr (0.0000, 0.0000, 0.0000)  4 Sr 3.55, 2 Se 3.82, 2 Ba 3.82
Sr (0.5000, 0.5000, 0.0000)  4 Sr 3.55, 2 Ba 3.82, 2 Se 3.82

---

Here is a relaxed BaSr2Se crystal from Alexandria via LeMat-Bulk. Energies are from PBE-GGA.

ρ, g/cm3: 3.63
Total magnetic moment, μB/f.u.: 0.00
V, Å³/f.u.: 179
VASP energy, eV per cell: -12.22
ΔE_f (raw), eV/atom: -0.86

Lattice parameters (Å, degrees): 4.3063 5.0917 8.5459 72.67 90.00 90.00
With the nearest neighbours (Å) after each atom.
Fractional positions:
Ba (0.0000, 0.5110, 0.6025)  4 Se 3.36-3.37
Se (0.5000, 0.9834, 0.6580)  3 Sr 3.16-3.33, 4 Ba 3.36-3.37
Sr (0.0000, 0.8279, 0.9693)  2 Se 3.33
Sr (0.5000, 0.1777, 0.2702)  1 Se 3.16

---

Here is a relaxed BaSr2Se crystal from Alexandria via LeMat-Bulk. Energies are from PBE-GGA.

ρ, g/cm3: 3.42
Total magnetic moment, μB/f.u.: 0.01
V, Å³/f.u.: 190
VASP energy, eV per cell: -12.47
ΔE_f (raw), eV/atom: -0.92

Lattice parameters (Å, degrees): 11.5653 11.5653 11.5653 21.97 21.97 21.97
With the nearest neighbours (Å) after each atom.
Fractional positions:
Ba (0.4746, 0.4746, 0.4746)  3 Se 3.29
Se (0.7463, 0.7463, 0.7463)  3 Sr 3.11, 3 Ba 3.29
Sr (0.0267, 0.0267, 0.0267)  3 Se 3.11
Sr (0.2525, 0.2525, 0.2525)  9 Sr 4.41-4.44, 3 Ba 4.55

---

Here is a relaxed BaSr2Se crystal from Alexandria via LeMat-Bulk. Energies are from PBE-GGA.

ρ, g/cm3: 3.35
Total magnetic moment, μB/f.u.: 0.30
V, Å³/f.u.: 194
VASP energy, eV per cell: -12.24
ΔE_f (raw), eV/atom: -0.87

Lattice parameters (Å, degrees): 4.3263 7.4082 7.4106 54.89 90.00 90.00
With the nearest neighbours (Å) after each atom.
Fractional positions:
Ba (0.5000, 0.2500, 0.2500)  2 Se 3.42
Se (0.5000, 0.7500, 0.7500)  4 Sr 3.09, 2 Ba 3.42
Sr (0.0000, 0.9172, 0.9175)  2 Se 3.09
Sr (0.0000, 0.5828, 0.5825)  2 Se 3.09

---

Here is a relaxed BaSr2Se2 crystal from Alexandria via LeMat-Bulk. Energies are from PBE-GGA.

ρ, g/cm3: 4.71
Total magnetic moment, μB/f.u.: 0.00
V, Å³/f.u.: 166
VASP energy, eV per cell: -38.71
ΔE_f (raw), eV/atom: -1.42

Lattice parameters (Å, degrees): 8.6618 8.6618 4.4209 90.00 90.00 90.00
With the nearest neighbours (Å) after each atom.
Fractional positions:
Sr (0.1562, 0.6562, 0.5000)  6 Se 3.24-3.46
Sr (0.6562, 0.8438, 0.5000)  6 Se 3.24-3.46
Sr (0.8438, 0.3438, 0.5000)  6 Se 3.24-3.46
Sr (0.3438, 0.1562, 0.5000)  6 Se 3.24-3.46
Ba (0.0000, 0.0000, 0.0000)  4 Se 3.30
Ba (0.5000, 0.5000, 0.0000)  4 Se 3.30
Se (0.3496, 0.8496, 0.0000)  6 Sr 3.24-3.46, 2 Ba 3.30
Se (0.8496, 0.6504, 0.0000)  6 Sr 3.24-3.46, 2 Ba 3.30
Se (0.6504, 0.1504, 0.0000)  6 Sr 3.24-3.46, 2 Ba 3.30
Se (0.1504, 0.3496, 0.0000)  6 Sr 3.24-3.46, 2 Ba 3.30

---

Here is a relaxed BaSr2Se crystal from Alexandria via LeMat-Bulk. Energies are from PBE-GGA.

ρ, g/cm3: 3.93
Total magnetic moment, μB/f.u.: 0.00
V, Å³/f.u.: 166
VASP energy, eV per cell: -10.72
ΔE_f (raw), eV/atom: -0.49

Lattice parameters (Å, degrees): 7.2995 7.2995 7.2995 139.03 139.03 59.33
With the nearest neighbours (Å) after each atom.
Fractional positions:
Ba (0.5000, 0.5000, 0.0000)  4 Sr 3.61
Se (0.7500, 0.2500, 0.5000)  4 Sr 3.61
Sr (0.0000, 0.0000, 0.0000)  4 Ba 3.61
Sr (0.2500, 0.7500, 0.5000)  4 Se 3.61

---

Here is a relaxed BaSr2Se crystal from Alexandria via LeMat-Bulk. Energies are from PBE-GGA.

ρ, g/cm3: 3.52
Total magnetic moment, μB/f.u.: 0.00
V, Å³/f.u.: 185
VASP energy, eV per cell: -12.54
ΔE_f (raw), eV/atom: -0.94

Lattice parameters (Å, degrees): 11.5563 11.5563 11.5563 21.69 21.69 21.69
With the nearest neighbours (Å) after each atom.
Fractional positions:
Ba (0.2500, 0.2500, 0.2500)  6 Ba 4.35, 6 Sr 4.51
Se (0.7500, 0.7500, 0.7500)  6 Sr 3.14
Sr (0.0274, 0.0274, 0.0274)  3 Se 3.14
Sr (0.4726, 0.4726, 0.4726)  3 Se 3.14

---

Here is a relaxed BaSr2Se2 crystal from Alexandria via LeMat-Bulk. Energies are from PBE-GGA.

ρ, g/cm3: 3.85
Total magnetic moment, μB/f.u.: 0.00
V, Å³/f.u.: 203
VASP energy, eV per cell: -18.89
ΔE_f (raw), eV/atom: -1.33

Lattice parameters (Å, degrees): 5.6755 5.6755 7.4628 67.65 67.65 90.00
With the nearest neighbours (Å) after each atom.
Fractional positions:
Sr (0.3327, 0.3327, 0.3345)  4 Se 3.02
Sr (0.6673, 0.6673, 0.6655)  4 Se 3.02
Ba (0.0000, 0.0000, 0.0000)  10 Sr 4.19-4.53, 8 Se 4.24
Se (0.7500, 0.2500, 0.5000)  4 Sr 3.02
Se (0.2500, 0.7500, 0.5000)  4 Sr 3.02

---

Here is a relaxed BaSr2Se crystal from Alexandria via LeMat-Bulk. Energies are from PBE-GGA.

ρ, g/cm3: 3.38
Total magnetic moment, μB/f.u.: 0.00
V, Å³/f.u.: 192
VASP energy, eV per cell: -23.54
ΔE_f (raw), eV/atom: -0.75

Lattice parameters (Å, degrees): 10.6756 10.6756 8.2679 49.79 49.79 90.00
With the nearest neighbours (Å) after each atom.
Fractional positions:
Sr (0.5093, 0.1250, 0.2500)  2 Se 3.14
Sr (0.2407, 0.6250, 0.2500)  2 Se 3.14
Sr (0.3750, 0.4907, 0.7500)  2 Se 3.14
Sr (0.8750, 0.7593, 0.7500)  2 Se 3.14
Ba (0.0000, 0.0000, 0.0000)  2 Se 3.37
Ba (0.7500, 0.2500, 0.5000)  2 Se 3.37
Se (0.5000, 0.5000, 0.0000)  4 Sr 3.14, 2 Ba 3.37
Se (0.2500, 0.7500, 0.5000)  4 Sr 3.14, 2 Ba 3.37